Material: BaCa2Mo
Method: DFT, GGA-PBE
State: optimized geometry

Cell lengths 3.886, 3.886, 9.531 Å; angles 90.00, 90.00, 90.00 degrees
Fractional positions:
Ca1 0.000 0.000 0.034
Ba1 0.500 0.500 0.694
Mo1 0.000 0.000 0.468
Ca2 0.500 0.500 0.304

Output
* offset from the most stable computed form: 42 meV per atom
* formation enthalpy at 0 K: 0.703 eV/atom
* E: -13.945 eV/cell
* Fermi-level density of states: 3.6 states/eV/f.u.